# 1
BeNiHg4 at its PBEsol-relaxed geometry, computed with meta-GGA SCAN.

Cell lengths 5.5370, 5.5370, 5.5370 Å; angles 60.00, 60.00, 60.00 degrees
Closest atoms and distances in Å follow each position.
Fractional coordinates of all 6 atoms:
Hg1 0.3752 0.8745 0.3752  6 Hg 2.76-2.77
Ni1 0.7500 0.7500 0.7500  12 Hg 3.25, 4 Be 3.39
Hg2 0.3752 0.3752 0.3752  6 Hg 2.76-2.77
Hg3 0.3752 0.3752 0.8745  6 Hg 2.76-2.77
Hg4 0.8745 0.3752 0.3752  6 Hg 2.76-2.77
Be1 0.0000 0.0000 0.0000  12 Hg 3.25, 4 Ni 3.39

Values from the calculation:
For the energy of formation from the pure elements, the calculation gives 929 meV per atom.

# 2
Ba2CuMoN at its PBEsol-relaxed geometry, computed with meta-GGA SCAN.

Cell lengths 4.5879, 5.9254, 5.9254 Å; angles 90.00, 90.00, 90.00 degrees
Closest atoms and distances in Å follow each position.
Fractional coordinates of all 5 atoms:
Ba1 0.0000 0.0000 0.5000  2 Cu 2.96
Mo1 0.5000 0.0000 0.0000  2 Cu 2.29
N1 0.5000 0.5000 0.5000  8 Ba 3.75, 4 Mo 4.19
Ba2 0.0000 0.5000 0.0000  2 Cu 2.96
Cu1 0.0000 0.0000 0.0000  2 Mo 2.29

Values from the calculation:
The value obtained for the raw total energy is -26.376 eV per atom.

# 3
LaCdIr2 at its PBEsol-relaxed geometry, computed with meta-GGA SCAN.

Cell lengths 4.4407, 4.9557, 4.4407 Å; angles 116.62, 90.00, 116.62 degrees
Closest atoms and distances in Å follow each position.
Fractional coordinates of all 4 atoms:
La1 0.0000 0.0000 0.0000  8 Ir 2.93, 4 Cd 3.14
Ir1 0.2500 0.5000 0.7500  4 La 2.93, 4 Cd 2.93, 4 Ir 3.14
Ir2 0.7500 0.5000 0.2500  4 Cd 2.93, 4 La 2.93, 4 Ir 3.14
Cd1 0.5000 0.0000 0.5000  8 Ir 2.93, 4 La 3.14

Values from the calculation:
For the energy of formation from the pure elements, the calculation gives -123 meV per atom.

# 4
TaMo5 at its PBEsol-relaxed geometry, computed with meta-GGA SCAN.

Cell lengths 5.1645, 5.1645, 5.1645 Å; angles 60.00, 60.00, 60.00 degrees
Closest atoms and distances in Å follow each position.
Fractional coordinates of all 6 atoms:
Mo1 0.3748 0.8757 0.3748  6 Mo 2.58-2.59
Mo2 0.7500 0.7500 0.7500  12 Mo 3.03, 4 Ta 3.16
Mo3 0.3748 0.3748 0.8757  6 Mo 2.58-2.59
Mo4 0.8757 0.3748 0.3748  6 Mo 2.58-2.59
Mo5 0.3748 0.3748 0.3748  6 Mo 2.58-2.59
Ta1 0.0000 0.0000 0.0000  16 Mo 3.03-3.16

Values from the calculation:
Its energy above the most stable polymorph in this dataset is 357 meV per atom. For the energy of formation from the pure elements, the calculation gives 260 meV per atom.

# 5
Li3V4O8 at its PBEsol-relaxed geometry, computed with meta-GGA SCAN.

Cell lengths 5.6917, 5.6912, 5.9142 Å; angles 90.02, 118.73, 119.99 degrees
Closest atoms and distances in Å follow each position.
Fractional coordinates of all 15 atoms:
V1 0.5000 0.5000 0.5000  6 O 1.94-1.99
O1 0.5157 0.7474 0.2630  2 Li 1.96-2.07, 3 V 1.99-2.04
O2 0.0278 0.2638 0.2913  1 Li 1.77, 3 V 1.94
Li1 0.7870 0.1435 0.9307  4 O 1.77-1.96
Li2 0.5000 0.0000 0.5000  6 O 2.07, 2 Li 2.12
O3 0.9722 0.7362 0.7087  1 Li 1.77, 3 V 1.94
O4 0.0056 0.2529 0.7373  2 Li 1.96-2.07, 3 V 1.99-2.04
V2 0.0000 0.5000 0.5000  6 O 1.94-1.99
Li3 0.2130 0.8565 0.0693  4 O 1.77-1.96
V3 0.5000 0.5000 0.0000  6 O 2.04
O5 0.5158 0.2684 0.2628  2 Li 1.96-2.07, 3 V 1.99-2.04
O6 0.4842 0.7316 0.7372  2 Li 1.96-2.07, 3 V 1.99-2.04
O7 0.4843 0.2526 0.7370  2 Li 1.96-2.07, 3 V 1.99-2.04
V4 0.0000 0.0000 0.5000  6 O 1.94-1.99
O8 0.9944 0.7471 0.2627  2 Li 1.96-2.07, 3 V 1.99-2.04

Values from the calculation:
Its energy above the most stable polymorph in this dataset is 0 meV per atom.

# 6
DyB6 at its PBEsol-relaxed geometry, computed with meta-GGA SCAN.

Cell lengths 4.0722, 4.0722, 4.0722 Å; angles 90.00, 90.00, 90.00 degrees
Closest atoms and distances in Å follow each position.
Fractional coordinates of all 7 atoms:
B1 0.5000 0.1987 0.5000  5 B 1.62-1.73
B2 0.5000 0.5000 0.1987  5 B 1.62-1.73
B3 0.5000 0.5000 0.8013  5 B 1.62-1.73
B4 0.5000 0.8013 0.5000  5 B 1.62-1.73
B5 0.8013 0.5000 0.5000  5 B 1.62-1.73
Dy1 0.0000 0.0000 0.0000  24 B 2.99
B6 0.1987 0.5000 0.5000  5 B 1.62-1.73

Values from the calculation:
For the energy of formation from the pure elements, the calculation gives -455 meV per atom.

# 7
Li3TiV3O8 at its PBEsol-relaxed geometry, computed with meta-GGA SCAN.

Cell lengths 5.7386, 5.7386, 5.9035 Å; angles 60.92, 60.92, 60.00 degrees
Closest atoms and distances in Å follow each position.
Fractional coordinates of all 15 atoms:
V1 0.5000 0.5000 0.0000  6 O 1.99-2.01
Li1 0.0000 0.0000 0.5000  6 O 2.11-2.13
V2 0.5000 0.0000 0.0000  6 O 1.99-2.01
O1 0.7446 0.7446 0.7661  3 V 2.01, 3 Li 2.11
O2 0.7609 0.7609 0.2238  1 Ti 1.97, 2 V 1.99, 2 Li 2.13
Li2 0.5000 0.0000 0.5000  6 O 2.11-2.13
O3 0.7456 0.2391 0.7762  1 Ti 1.97, 2 V 1.99, 2 Li 2.13
V3 0.0000 0.5000 0.0000  6 O 1.99-2.01
O4 0.2391 0.2391 0.7762  1 Ti 1.97, 2 V 1.99, 2 Li 2.13
O5 0.7609 0.2544 0.2238  1 Ti 1.97, 2 V 1.99, 2 Li 2.13
Ti1 0.0000 0.0000 0.0000  6 O 1.97
O6 0.2544 0.7609 0.2238  1 Ti 1.97, 2 V 1.99, 2 Li 2.13
Li3 0.0000 0.5000 0.5000  6 O 2.11-2.13
O7 0.2391 0.7456 0.7762  1 Ti 1.97, 2 V 1.99, 2 Li 2.13
O8 0.2554 0.2554 0.2339  3 V 2.01, 3 Li 2.11

Values from the calculation:
Its energy above the most stable polymorph in this dataset is 0 meV per atom.

# 8
YNiSb2 at its PBEsol-relaxed geometry, computed with meta-GGA SCAN.

Cell lengths 4.1075, 4.1075, 6.5447 Å; angles 71.71, 71.71, 60.00 degrees
Closest atoms and distances in Å follow each position.
Fractional coordinates of all 4 atoms:
Ni1 0.0000 0.0000 0.0000  6 Sb 2.64
Y1 0.5000 0.5000 0.5000  6 Sb 3.03
Sb1 0.2701 0.2701 0.1898  3 Ni 2.64
Sb2 0.7299 0.7299 0.8102  3 Ni 2.64

Values from the calculation:
The value obtained for the raw total energy is -30.068 eV per atom.

# 9
Li3CuH at its PBEsol-relaxed geometry, computed with meta-GGA SCAN.

Cell lengths 3.8553, 3.8553, 3.8553 Å; angles 90.00, 90.00, 90.00 degrees
Closest atoms and distances in Å follow each position.
Fractional coordinates of all 5 atoms:
H1 0.0000 0.0000 0.0000  6 Li 1.93
Li1 0.0000 0.0000 0.5000  2 H 1.93
Cu1 0.5000 0.5000 0.5000  12 Li 2.73
Li2 0.5000 0.0000 0.0000  2 H 1.93
Li3 0.0000 0.5000 0.0000  2 H 1.93

Values from the calculation:
The value obtained for the raw total energy is -5.251 eV per atom.

# 10
CrCdPCl2 at its PBEsol-relaxed geometry, computed with meta-GGA SCAN.

Cell lengths 5.0943, 4.9976, 4.9976 Å; angles 90.00, 90.00, 90.00 degrees
Closest atoms and distances in Å follow each position.
Fractional coordinates of all 5 atoms:
Cd1 0.0000 0.0000 0.0000  4 Cl 2.50, 2 P 2.55
P1 0.5000 0.0000 0.0000  2 Cd 2.55
Cl1 0.0000 0.0000 0.5000  2 Cd 2.50
Cl2 0.0000 0.5000 0.0000  2 Cd 2.50
Cr1 0.5000 0.5000 0.5000  4 P 3.53, 8 Cl 3.57

Values from the calculation:
Its energy above the most stable polymorph in this dataset is 558 meV per atom.

# 11
Li2TlCr at its PBEsol-relaxed geometry, computed with meta-GGA SCAN.

Cell lengths 3.8849, 4.1774, 5.1006 Å; angles 114.17, 112.38, 90.00 degrees
Closest atoms and distances in Å follow each position.
Fractional coordinates of all 4 atoms:
Tl1 0.5000 0.0000 0.0000  4 Cr 2.85, 8 Li 2.88-2.96
Li1 0.7488 0.7488 0.4976  4 Li 2.85, 4 Cr 2.86-2.98, 4 Tl 2.88-2.96
Cr1 0.0000 0.5000 0.0000  4 Tl 2.85, 8 Li 2.86-2.98
Li2 0.2512 0.2512 0.5024  4 Li 2.85, 4 Cr 2.86-2.98, 4 Tl 2.88-2.96

Values from the calculation:
For the energy of formation from the pure elements, the calculation gives -53 meV per atom.

# 12
Co2Hg at its PBEsol-relaxed geometry, computed with meta-GGA SCAN.

Cell lengths 2.7225, 5.2169, 6.3744 Å; angles 109.27, 90.00, 105.13 degrees
Closest atoms and distances in Å follow each position.
Fractional coordinates of all 6 atoms:
Hg1 0.1567 0.3134 0.1125  8 Co 2.70-3.00, 3 Hg 2.72-2.99
Co1 0.5262 0.0525 0.7057  5 Co 2.37-2.49
Co2 0.8445 0.6891 0.4649  6 Co 2.37-2.50
Hg2 0.8433 0.6866 0.8875  8 Co 2.70-3.00, 3 Hg 2.72-2.99
Co3 0.1555 0.3109 0.5351  6 Co 2.37-2.50
Co4 0.4738 0.9475 0.2943  5 Co 2.37-2.49

Values from the calculation:
For the energy of formation from the pure elements, the calculation gives 364 meV per atom.

The following M_tot values (in μB per cell) correspond, in order, to the records above: 0.00; 5.21; 0.00; 0.00; 7.00; 0.00; 6.00; 0.00; 0.00; 3.14; 4.23; 7.42.